# Cs2Na2ZnAs2

A relaxed structure of Cs2Na2ZnAs2 (PBE, OQMD via LeMat-Bulk).

The space group is R-3m (No. 166, hexagonal axes) and the conventional cell measures 5.9312, 5.9312 and 25.1644 Å, with angles of 90.00, 90.00 and 120.00 degrees. The asymmetric unit holds Cs at (0.0000, 0.0000, 0.1174), Na at (0.0000, 0.0000, 0.2933), Zn at (0.0000, 0.0000, 0.5000) and As at (0.0000, 0.0000, 0.4077).

The calculation puts the total energy at -51.92 eV/cell. Its energy relative to the lowest polymorph listed for this composition is 1.038 kcal/mol of atoms.

***

# Er2Al2Ni3Pt

A relaxed structure of Er2Al2Ni3Pt (PBE, OQMD via LeMat-Bulk).

The space group is P3m1 (No. 156) and the conventional cell measures 4.1925, 4.1925 and 8.8547 Å, with angles of 90.00, 90.00 and 120.00 degrees. The asymmetric unit holds Er at (0.0000, 0.0000, 0.0000), Er at (0.3333, 0.6667, 0.5114), Al at (0.6667, 0.3333, 0.2637), Al at (0.6667, 0.3333, 0.7530), Ni at (0.0000, 0.0000, 0.3363), Ni at (0.0000, 0.0000, 0.6875), Ni at (0.3333, 0.6667, 0.8195) and Pt at (0.3333, 0.6667, 0.1802).

The calculation puts the total energy at -45.41 eV/cell.

***

# Sc2GaTc

A relaxed structure of Sc2GaTc (PBE, OQMD via LeMat-Bulk).

The space group is P6_3/mmc (No. 194) and the conventional cell measures 4.5860, 4.5860 and 8.3744 Å, with angles of 90.00, 90.00 and 120.00 degrees. The asymmetric unit holds Sc at (0.3333, 0.6667, 0.0868), Ga at (0.0000, 0.0000, 0.2500) and Tc at (0.3333, 0.6667, 0.7500).

The calculation puts the total energy at -54.10 eV/cell.

***

# HfNbTl

A relaxed structure of HfNbTl (PBE, OQMD via LeMat-Bulk).

The space group is F-43m (No. 216) and the conventional cell measures 6.607, 6.607 and 6.607 Å, with angles of 90.00, 90.00 and 90.00 degrees. The asymmetric unit holds Hf at (0.000, 0.000, 0.000), Nb at (0.000, 0.000, 0.500) and Tl at (0.250, 0.250, 0.250).

The calculation puts the total energy at -80.34 eV/cell. Its energy relative to the lowest polymorph listed for this composition is 0.000 kcal/mol of atoms.